No. 1
{"formula": "CuRe2Ru", "functional": "PBE", "state": "relaxed", "magnetic_moment_mub_per_atom": 0.000, "crystal_system": "cubic", "formation_enthalpy_0k_mev_per_atom": 554, "polymorph_energy_ev_per_atom": 0.380, "lattice": [[4.317, 0.000, 0.000], [2.158, 3.738, 0.000], [2.158, 1.246, 3.524]], "species": ["Cu", "Re", "Re", "Ru"], "frac_coords": [[0.000, 0.000, 0.000], [0.750, 0.750, 0.750], [0.250, 0.250, 0.250], [0.500, 0.500, 0.500]]}

---

No. 2
{"formula": "CuRe2Ru", "functional": "PBE", "state": "relaxed", "magnetic_moment_mub_per_atom": 0.000, "crystal_system": "tetragonal", "formation_enthalpy_0k_mev_per_atom": 275, "polymorph_energy_ev_per_atom": 0.101, "lattice": [[-3.208, 0.026, 3.633], [-4.179, -2.233, -1.019], [4.687, -1.163, -0.414]], "species": ["Re", "Re", "Cu", "Ru"], "frac_coords": [[0.000, 0.000, 0.000], [0.500, 0.500, 0.000], [0.750, 0.250, 0.500], [0.250, 0.750, 0.500]]}

---

No. 3
{"formula": "CuRe2Ru", "functional": "PBE", "state": "relaxed", "magnetic_moment_mub_per_atom": 0.000, "crystal_system": "orthorhombic", "formation_enthalpy_0k_mev_per_atom": 360, "polymorph_energy_ev_per_atom": 0.186, "lattice": [[-2.643, 0.263, -4.445], [-2.208, -4.296, -1.867], [0.336, 3.453, 3.844]], "species": ["Ru", "Cu", "Re", "Re"], "frac_coords": [[0.511, 0.511, 0.000], [0.749, 0.249, 0.500], [0.988, 0.988, 0.000], [0.252, 0.752, 0.500]]}

---

No. 4
{"formula": "Cu4ReRu", "functional": "PBE", "state": "relaxed", "magnetic_moment_mub_per_atom": 0.000, "crystal_system": "cubic", "formation_enthalpy_0k_mev_per_atom": 285, "lattice": [[-1.704, -4.378, 0.546], [-3.948, -0.705, 2.506], [-3.995, -1.273, -2.189]], "species": ["Re", "Cu", "Cu", "Cu", "Cu", "Ru"], "frac_coords": [[0.750, 0.750, 0.750], [0.375, 0.875, 0.375], [0.375, 0.375, 0.875], [0.375, 0.375, 0.375], [0.875, 0.375, 0.375], [0.000, 0.000, 0.000]]}

---

No. 5
{"formula": "V2CuReRu", "functional": "PBE", "state": "relaxed", "magnetic_moment_mub_per_atom": 0.000, "crystal_system": "tetragonal", "formation_enthalpy_0k_mev_per_atom": 1536, "lattice": [[4.364, 0.000, 0.000], [0.000, 4.518, 0.000], [0.000, 0.000, 4.364]], "species": ["V", "V", "Cu", "Re", "Ru"], "frac_coords": [[0.500, 0.000, 0.000], [0.000, 0.000, 0.500], [0.000, 0.500, 0.000], [0.500, 0.500, 0.500], [0.000, 0.000, 0.000]]}

---

No. 6
{"formula": "VCuReRu2", "functional": "PBE", "state": "relaxed", "magnetic_moment_mub_per_atom": 0.000, "crystal_system": "tetragonal", "formation_enthalpy_0k_mev_per_atom": 1602, "lattice": [[-0.431, -0.684, 4.290], [-4.053, -0.982, -0.564], [1.092, -4.190, -0.559]], "species": ["Ru", "Ru", "Re", "Cu", "V"], "frac_coords": [[0.000, 0.000, 0.500], [0.500, 0.000, 0.000], [0.500, 0.500, 0.500], [0.000, 0.000, 0.000], [0.000, 0.500, 0.000]]}